A crystal of BaRu2Pt relaxed with PBEsol. Source: Alexandria, functional SCAN.

a b c (Å): 4.697 4.697 4.697
angles (deg): 60.00 60.00 60.00
Fractional coordinates of all 4 atoms:
Ba (0.000, 0.000, 0.000)
Ru (0.250, 0.250, 0.250)
Ru (0.750, 0.750, 0.750)
Pt (0.500, 0.500, 0.500)

Results
* raw total energy: -175.75 eV for the cell shown
* magnetization: 3.8 μB per formula unit
* N(E_F): 3.028 states/eV per cell
* V: 18.3 A^3/atom